Ac2Pr5Y4 | GGA-PBE | relaxed

Calculated values
- M_tot: 0.00 μB per formula unit
- ΔE to the lowest computed polymorph: 0.152 eV/atom

Cell lengths 3.6342, 11.9113, 18.9617 Å; angles 90.00, 90.00, 90.00 degrees
Space group Immm (No. 71)
Inequivalent atoms, fractional coordinates:
1 Ac 0.0000 0.0000 0.1955 [4 per cell]
2 Pr 0.0000 0.2941 0.1767 [8 per cell]
3 Pr 0.0000 0.5000 0.5000 [2 per cell]
4 Y 0.0000 0.0000 0.4137 [4 per cell]
5 Y 0.0000 0.2732 0.0000 [4 per cell]


Cs2YInH | GGA-PBE | relaxed

Calculated values
- M_tot: 0.00 μB per formula unit
- E_tot: -11.1 eV per cell

Cell lengths 7.4074, 7.4074, 5.8639 Å; angles 90.00, 90.00, 90.00 degrees
Space group P4/mmm (No. 123)
Inequivalent atoms, fractional coordinates:
1 Cs 0.0000 0.5000 0.0000 [2 per cell]
2 Y 0.0000 0.0000 0.5000 [1 per cell]
3 In 0.0000 0.0000 0.0000 [1 per cell]
4 H 0.5000 0.5000 0.5000 [1 per cell]


ZrMnAl | GGA-PBE | relaxed

Calculated values
- M_tot: 3.09 μB per formula unit
- E_tot: -21.9 eV per cell

Cell lengths 4.4415, 4.4415, 3.1283 Å; angles 90.00, 90.00, 120.00 degrees
Space group P-6m2 (No. 187)
Inequivalent atoms, fractional coordinates:
1 Zr 0.0000 0.0000 0.0000 [1 per cell]
2 Mn 0.3333 0.6667 0.5000 [1 per cell]
3 Al 0.6667 0.3333 0.5000 [1 per cell]


LaCdInW2 | GGA-PBE | relaxed

Calculated values
- M_tot: 0.00 μB per formula unit
- E_tot: -26.2 eV per cell

Cell lengths 5.1144, 5.1144, 5.0617 Å; angles 90.00, 90.00, 90.00 degrees
Space group P4/mmm (No. 123)
Inequivalent atoms, fractional coordinates:
1 La 0.0000 0.0000 0.0000 [1 per cell]
2 Cd 0.5000 0.5000 0.0000 [1 per cell]
3 In 0.5000 0.5000 0.5000 [1 per cell]
4 W 0.0000 0.5000 0.5000 [2 per cell]


InI3 | GGA-PBE | relaxed

Calculated values
- M_tot: 0.94 μB per formula unit
- E_tot: -28.2 eV per cell

Cell lengths 8.3409, 8.3409, 8.3409 Å; angles 90.00, 90.00, 90.00 degrees
Space group Fm-3m (No. 225)
Inequivalent atoms, fractional coordinates:
1 In 0.0000 0.0000 0.0000 [4 per cell]
2 I 0.0000 0.0000 0.5000 [4 per cell]
3 I 0.2500 0.2500 0.2500 [8 per cell]


CaGd2Mg | GGA-PBE | relaxed

Calculated values
- M_tot: 15.50 μB per formula unit
- ΔE to the lowest computed polymorph: 0.164 eV/atom

Cell lengths 3.5377, 3.5377, 36.5540 Å; angles 90.00, 90.00, 120.00 degrees
Space group R-3m (No. 166, hexagonal axes)
Inequivalent atoms, fractional coordinates:
1 Ca 0.0000 0.0000 0.0000 [3 per cell]
2 Gd 0.0000 0.0000 0.0937 [6 per cell]
3 Mg 0.0000 0.0000 0.5000 [3 per cell]


K2HgPbBr6 | GGA-PBE | relaxed

Calculated values
- M_tot: 0.00 μB per formula unit
- E_tot: -27.1 eV per cell

Cell lengths 7.9617, 7.9638, 8.1224 Å; angles 90.03, 119.32, 119.96 degrees
Space group P1 (No. 1)
Inequivalent atoms, fractional coordinates:
1 K 0.0000 0.0000 0.0000 [1 per cell]
2 K 0.9999 0.5000 0.4998 [1 per cell]
3 Hg 0.4353 0.2175 0.6526 [1 per cell]
4 Pb 0.4347 0.7173 0.1520 [1 per cell]
5 Br 0.3105 0.3556 0.8646 [1 per cell]
6 Br 0.3104 0.4386 0.3789 [1 per cell]
7 Br 0.5072 0.0686 0.3789 [1 per cell]
8 Br 0.5089 0.9547 0.8646 [1 per cell]
9 Br 0.9098 0.5541 0.8649 [1 per cell]
10 Br 0.9402 0.8717 0.3789 [1 per cell]


LaTbPmCd | GGA-PBE | relaxed

Calculated values
- M_tot: 0.00 μB per formula unit
- ΔE to the lowest computed polymorph: 0.000 eV/atom

Cell lengths 3.7243, 3.7243, 8.9825 Å; angles 90.00, 90.00, 90.00 degrees
Space group P4mm (No. 99)
Inequivalent atoms, fractional coordinates:
1 La 0.0000 0.0000 0.0000 [1 per cell]
2 Tb 0.5000 0.5000 0.2779 [1 per cell]
3 Pm 0.5000 0.5000 0.7150 [1 per cell]
4 Cd 0.0000 0.0000 0.4882 [1 per cell]


LaMo2Ir | GGA-PBE | relaxed

Calculated values
- M_tot: 0.00 μB per formula unit
- ΔE to the lowest computed polymorph: 0.159 eV/atom

Cell lengths 2.8491, 3.7967, 7.3239 Å; angles 90.00, 90.00, 90.00 degrees
Space group Pmmm (No. 47)
Inequivalent atoms, fractional coordinates:
1 La 0.0000 0.0000 0.0000 [1 per cell]
2 Mo 0.5000 0.5000 0.3217 [2 per cell]
3 Ir 0.0000 0.0000 0.5000 [1 per cell]


IrPb2Se | GGA-PBE | relaxed

Calculated values
- M_tot: 0.00 μB per formula unit
- E_tot: -39.0 eV per cell

Cell lengths 10.7430, 3.4943, 5.9335 Å; angles 90.00, 114.87, 90.00 degrees
Space group Cm (No. 8)
Inequivalent atoms, fractional coordinates:
1 Ir 0.0000 0.0000 0.0000 [2 per cell]
2 Pb 0.0795 0.5000 0.4302 [2 per cell]
3 Pb 0.2292 0.5000 0.0234 [2 per cell]
4 Se 0.3877 0.0000 0.6892 [2 per cell]


Ce15Tl4In | GGA-PBE | relaxed

Calculated values
- M_tot: 15.98 μB per formula unit
- E_tot: -103.9 eV per cell

Cell lengths 4.8259, 4.8259, 24.0700 Å; angles 90.00, 90.00, 90.00 degrees
Space group P4/mmm (No. 123)
Inequivalent atoms, fractional coordinates:
1 Ce 0.0000 0.0000 0.0000 [1 per cell]
2 Ce 0.0000 0.0000 0.1995 [2 per cell]
3 Ce 0.0000 0.0000 0.3999 [2 per cell]
4 Ce 0.0000 0.5000 0.0992 [4 per cell]
5 Ce 0.0000 0.5000 0.2998 [4 per cell]
6 Ce 0.0000 0.5000 0.5000 [2 per cell]
7 Tl 0.5000 0.5000 0.1996 [2 per cell]
8 Tl 0.5000 0.5000 0.3999 [2 per cell]
9 In 0.5000 0.5000 0.0000 [1 per cell]


Sr4LiMg3 | GGA-PBE | relaxed

Calculated values
- M_tot: 0.00 μB per formula unit
- E_tot: -13.7 eV per cell

Cell lengths 4.2105, 4.2105, 16.5748 Å; angles 90.00, 90.00, 90.00 degrees
Space group P4/mmm (No. 123)
Inequivalent atoms, fractional coordinates:
1 Sr 0.0000 0.0000 0.1242 [2 per cell]
2 Sr 0.0000 0.0000 0.3731 [2 per cell]
3 Li 0.5000 0.5000 0.5000 [1 per cell]
4 Mg 0.5000 0.5000 0.0000 [1 per cell]
5 Mg 0.5000 0.5000 0.2491 [2 per cell]


Rb2AlAs2 | GGA-PBE | relaxed

Calculated values
- M_tot: 0.00 μB per formula unit
- ΔE to the lowest computed polymorph: 0.281 eV/atom

Cell lengths 7.0719, 7.0719, 5.8220 Å; angles 90.00, 90.00, 90.00 degrees
Space group P4/mbm (No. 127)
Inequivalent atoms, fractional coordinates:
1 Rb 0.1729 0.3271 0.0000 [4 per cell]
2 Al 0.0000 0.0000 0.5000 [2 per cell]
3 As 0.1348 0.6348 0.5000 [4 per cell]


Ca2TaAg | GGA-PBE | relaxed

Calculated values
- M_tot: 3.19 μB per formula unit
- ΔE to the lowest computed polymorph: 0.345 eV/atom

Cell lengths 7.4632, 7.4632, 7.4632 Å; angles 90.00, 90.00, 90.00 degrees
Space group Fm-3m (No. 225)
Inequivalent atoms, fractional coordinates:
1 Ca 0.2500 0.2500 0.2500 [8 per cell]
2 Ta 0.0000 0.0000 0.0000 [4 per cell]
3 Ag 0.0000 0.0000 0.5000 [4 per cell]


Pm8Ni2Ag | GGA-PBE | relaxed

Calculated values
- M_tot: 0.00 μB per formula unit
- E_tot: -106.1 eV per cell

Cell lengths 8.4926, 13.4948, 5.6957 Å; angles 90.00, 105.37, 90.00 degrees
Space group C2/m (No. 12)
Inequivalent atoms, fractional coordinates:
1 Pm 0.0000 0.2402 0.0000 [4 per cell]
2 Pm 0.1139 0.5000 0.8107 [4 per cell]
3 Pm 0.2098 0.1266 0.5804 [8 per cell]
4 Ni 0.0000 0.2970 0.5000 [4 per cell]
5 Ag 0.0000 0.0000 0.0000 [2 per cell]


BeSbC3 | GGA-PBE | relaxed

Calculated values
- M_tot: 0.00 μB per formula unit
- ΔE to the lowest computed polymorph: 0.000 eV/atom

Cell lengths 3.7550, 3.7550, 3.7550 Å; angles 90.00, 90.00, 90.00 degrees
Space group Pm-3m (No. 221)
Inequivalent atoms, fractional coordinates:
1 Be 0.0000 0.0000 0.0000 [1 per cell]
2 Sb 0.5000 0.5000 0.5000 [1 per cell]
3 C 0.0000 0.0000 0.5000 [3 per cell]


Ca2ZrTiGe2O10 | GGA-PBE | relaxed

Calculated values
- M_tot: 0.00 μB per formula unit
- E_tot: -121.8 eV per cell

Cell lengths 5.5441, 5.7886, 7.4202 Å; angles 104.88, 101.97, 106.91 degrees
Space group P-1 (No. 2)
Inequivalent atoms, fractional coordinates:
1 Ca 0.1663 0.3224 0.2945 [2 per cell]
2 Zr 0.5000 0.0000 0.0000 [1 per cell]
3 Ti 0.5000 0.0000 0.5000 [1 per cell]
4 Ge 0.1751 0.3134 0.7449 [2 per cell]
5 O 0.1199 0.7680 0.4498 [2 per cell]
6 O 0.1817 0.1147 0.8889 [2 per cell]
7 O 0.2139 0.6239 0.8885 [2 per cell]
8 O 0.4079 0.0580 0.2610 [2 per cell]
9 O 0.4214 0.3229 0.6217 [2 per cell]


ReAgP4 | GGA-PBE | relaxed

Calculated values
- M_tot: 0.00 μB per formula unit
- E_tot: -124.0 eV per cell

Cell lengths 7.0860, 7.0860, 7.0860 Å; angles 90.00, 90.00, 90.00 degrees
Space group F-43m (No. 216)
Inequivalent atoms, fractional coordinates:
1 Re 0.0000 0.0000 0.0000 [4 per cell]
2 Ag 0.2500 0.2500 0.2500 [4 per cell]
3 P 0.1272 0.1272 0.6272 [16 per cell]


Ca2CrRe | GGA-PBE | relaxed

Calculated values
- M_tot: 0.00 μB per formula unit
- ΔE to the lowest computed polymorph: 0.623 eV/atom

Cell lengths 2.7510, 5.0261, 5.4812 Å; angles 90.00, 90.54, 90.00 degrees
Space group P2/m (No. 10)
Inequivalent atoms, fractional coordinates:
1 Ca 0.0009 0.0000 0.2495 [2 per cell]
2 Cr 0.5000 0.5000 0.5000 [1 per cell]
3 Re 0.5000 0.5000 0.0000 [1 per cell]


ScTlI2N | GGA-PBE | relaxed

Calculated values
- M_tot: 0.75 μB per formula unit
- ΔE to the lowest computed polymorph: 1.163 eV/atom

Cell lengths 6.2238, 6.2238, 4.0087 Å; angles 90.00, 90.00, 90.00 degrees
Space group P4/mmm (No. 123)
Inequivalent atoms, fractional coordinates:
1 Sc 0.0000 0.0000 0.0000 [1 per cell]
2 Tl 0.5000 0.5000 0.5000 [1 per cell]
3 I 0.0000 0.5000 0.5000 [2 per cell]
4 N 0.5000 0.5000 0.0000 [1 per cell]